The following is a DFT calculation (GGA+U) of crystalline Na3CrIn2O6 at its relaxed geometry.

Output
Crystal system = monoclinic

Lattice parameters (Å, degrees): 5.5594 5.5594 5.7907 99.22 99.22 120.02
Sites, in units of the cell vectors:
Na 0.0000 0.0000 0.0000
Na 0.3361 0.6639 0.0000
Na 0.6639 0.3361 0.0000
Cr 0.5000 0.5000 0.5000
In 0.1670 0.8330 0.5000
In 0.8330 0.1670 0.5000
O 0.1164 0.4306 0.2911
O 0.2550 0.2550 0.7060
O 0.4306 0.1164 0.2911
O 0.5694 0.8836 0.7089
O 0.7450 0.7450 0.2940
O 0.8836 0.5694 0.7089

---

The following is a DFT calculation (GGA+U) of crystalline Na3Cr3InO8 at its relaxed geometry.

Output
Crystal system = monoclinic

Lattice parameters (Å, degrees): 6.1392 6.1392 6.5041 117.87 117.87 60.09
Sites, in units of the cell vectors:
Na 0.0000 0.0000 0.0000
Na 0.0000 0.5000 0.0000
Na 0.5000 0.0000 0.0000
Cr 0.0000 0.5000 0.5000
Cr 0.5000 0.0000 0.5000
Cr 0.5000 0.5000 0.5000
In 0.0000 0.0000 0.5000
O 0.2366 0.2366 0.6947
O 0.2529 0.7058 0.6934
O 0.2686 0.2686 0.3030
O 0.2942 0.7471 0.3066
O 0.7058 0.2529 0.6934
O 0.7314 0.7314 0.6970
O 0.7471 0.2942 0.3066
O 0.7634 0.7634 0.3053

---

The following is a DFT calculation (GGA+U) of crystalline Na3CrIn3O8 at its relaxed geometry.

Output
Crystal system = trigonal

Lattice parameters (Å, degrees): 6.6761 6.6761 6.6761 57.50 57.50 57.50
Sites, in units of the cell vectors:
Na 0.0000 0.5000 0.5000
Na 0.5000 0.0000 0.5000
Na 0.5000 0.5000 0.0000
Cr 0.5000 0.5000 0.5000
In 0.0000 0.0000 0.5000
In 0.0000 0.5000 0.0000
In 0.5000 0.0000 0.0000
O 0.2369 0.2369 0.2369
O 0.2658 0.7149 0.7149
O 0.2851 0.2851 0.7342
O 0.2851 0.7342 0.2851
O 0.7149 0.2658 0.7149
O 0.7149 0.7149 0.2658
O 0.7342 0.2851 0.2851
O 0.7631 0.7631 0.7631

---

no.,E (eV per atom)
1,-5.60
2,-6.31
3,-5.56